1.
! Tb2Er2Rh3 (PBE, optimized geometry); values from VASP
! Formation enthalpy at 0 K = -544 kJ/mol of formula units
! E_tot = -46.08 eV/cell
! E above lowest polymorph = 0.0 meV per atom
! Fermi-level density of states = 0.4692 states/eV per atom
&SYSTEM
  ibrav = 0, nat = 7, ntyp = 3
/
ATOMIC_SPECIES
Tb 158.93 Tb.upf
Er 167.26 Er.upf
Rh 102.91 Rh.upf
ATOMIC_POSITIONS angstrom
Tb 0.005 0.000 2.973
Tb 5.530 0.000 4.985
Er 2.761 0.000 0.995
Er 2.774 0.000 6.964
Rh 0.000 0.000 0.000
Rh 0.010 0.000 6.011
Rh 5.525 0.000 1.947
CELL_PARAMETERS angstrom
4.140 -2.389 0.000
4.140 2.389 0.000
-2.746 0.000 7.958



2.
! Sc3TeO3 (PBE, optimized geometry); values from VASP
! Raw formation energy = -2.72 eV per atom
! E_tot = -112.17 eV/cell
! Fermi-level density of states = 0.2295 states/eV per atom
&SYSTEM
  ibrav = 0, nat = 14, ntyp = 3
/
ATOMIC_SPECIES
Sc 44.96 Sc.upf
Te 127.60 Te.upf
O 16.00 O.upf
ATOMIC_POSITIONS angstrom
Sc -2.057 -0.035 9.160
Sc -0.998 -1.799 11.726
Sc 1.059 -1.764 9.160
Sc -1.059 1.764 11.726
Sc 0.998 1.799 9.160
Sc 2.057 0.035 11.726
Te 0.000 0.000 6.953
Te 0.000 0.000 13.933
O -0.995 -1.868 9.570
O -2.115 -0.072 11.316
O -1.120 1.796 9.570
O 1.120 -1.796 11.316
O 2.115 0.072 9.570
O 0.995 1.868 11.316
CELL_PARAMETERS angstrom
3.124 1.803 6.962
-3.124 1.803 6.962
0.000 -3.607 6.962



3.
! InFePt2 (PBE, optimized geometry); values from VASP
! Formation enthalpy at 0 K = -83 kJ/mol of formula units
! E_tot = -24.14 eV/cell
! Fermi-level density of states = 0.7198 states/eV per atom
&SYSTEM
  ibrav = 0, nat = 4, ntyp = 3
/
ATOMIC_SPECIES
In 114.82 In.upf
Fe 55.84 Fe.upf
Pt 195.08 Pt.upf
ATOMIC_POSITIONS angstrom
In 0.000 0.000 0.000
Fe 0.000 1.990 2.028
Pt 1.990 0.000 2.028
Pt 0.000 0.000 4.057
CELL_PARAMETERS angstrom
-1.990 1.990 4.057
1.990 -1.990 4.057
1.990 1.990 -4.057



4.
! AlPN2O (PBE, optimized geometry); values from VASP
! Raw formation energy = 0.58 eV per atom
! E_tot = -27.85 eV/cell
! Fermi-level density of states = 0.4245 states/eV per atom
&SYSTEM
  ibrav = 0, nat = 5, ntyp = 4
/
ATOMIC_SPECIES
Al 26.98 Al.upf
P 30.97 P.upf
N 14.01 N.upf
O 16.00 O.upf
ATOMIC_POSITIONS angstrom
Al 0.000 0.000 0.000
P 1.923 1.923 1.787
N 0.000 1.923 0.000
N 1.923 0.000 0.000
O 0.000 0.000 1.787
CELL_PARAMETERS angstrom
3.845 0.000 0.000
0.000 3.845 0.000
0.000 0.000 3.574